No. 1
A PBEsol-optimized structure of SrCu4Sn2, computed with SCAN.

Values from the calculation:
Energy of formation from the pure elements ... -0.258 eV/atom
Calculated total energy ... -626.9 eV/cell
Crystal system ... tetragonal

Cell: 8.0633 8.0633 7.7497 Å, 90.00 90.00 90.00°
Space group I4/mcm (No. 140)
Symmetry-distinct sites (fractional):
Sr 0.0000 0.0000 0.2500 (multiplicity 4)
Cu 0.1343 0.3657 0.1612 (multiplicity 16)
Sn 0.1624 0.3376 0.5000 (multiplicity 8)

=====

No. 2
A PBEsol-optimized structure of SrTiCu2Sn, computed with SCAN.

Values from the calculation:
Energy of formation from the pure elements ... 0.282 eV/atom
Calculated total energy ... -103.2 eV/cell
Crystal system ... tetragonal

Cell: 4.8067 4.8067 5.1361 Å, 90.00 90.00 90.00°
Space group P4/mmm (No. 123)
Symmetry-distinct sites (fractional):
Sr 0.0000 0.0000 0.0000 (multiplicity 1)
Ti 0.5000 0.5000 0.5000 (multiplicity 1)
Cu 0.0000 0.5000 0.5000 (multiplicity 2)
Sn 0.5000 0.5000 0.0000 (multiplicity 1)

=====

No. 3
A PBEsol-optimized structure of Tb3Cu4Sn4, computed with SCAN.

Values from the calculation:
Energy of formation from the pure elements ... -0.606 eV/atom
Calculated total energy ... -702.9 eV/cell
Crystal system ... orthorhombic

Cell: 4.4215 6.8367 14.5277 Å, 90.00 90.00 90.00°
Space group Immm (No. 71)
Symmetry-distinct sites (fractional):
Tb 0.0000 0.0000 0.0000 (multiplicity 2)
Tb 0.0000 0.5000 0.1316 (multiplicity 4)
Cu 0.0000 0.3126 0.3296 (multiplicity 8)
Sn 0.0000 0.0000 0.2161 (multiplicity 4)
Sn 0.0000 0.2034 0.5000 (multiplicity 4)

=====

No. 4
A PBEsol-optimized structure of TbCuSn, computed with SCAN.

Values from the calculation:
Energy of formation from the pure elements ... -0.719 eV/atom
Calculated total energy ... -200.1 eV/cell
Crystal system ... hexagonal

Cell: 4.4814 4.4814 7.1879 Å, 90.00 90.00 120.00°
Space group P6_3mc (No. 186)
Symmetry-distinct sites (fractional):
Tb 0.0000 0.0000 0.0000 (multiplicity 2)
Cu 0.3333 0.6667 0.3210 (multiplicity 2)
Sn 0.3333 0.6667 0.7309 (multiplicity 2)

=====

No. 5
A PBEsol-optimized structure of TbCu5Sn, computed with SCAN.

Values from the calculation:
Energy of formation from the pure elements ... -0.294 eV/atom
Calculated total energy ... -643.0 eV/cell
Crystal system ... orthorhombic

Cell: 8.1052 4.9101 10.4368 Å, 90.00 90.00 90.00°
Space group Pnma (No. 62)
Symmetry-distinct sites (fractional):
Tb 0.2490 0.2500 0.0621 (multiplicity 4)
Cu 0.0591 0.7500 0.1023 (multiplicity 4)
Cu 0.0697 0.0010 0.3121 (multiplicity 8)
Cu 0.0832 0.2500 0.5167 (multiplicity 4)
Cu 0.1825 0.2500 0.7419 (multiplicity 4)
Sn 0.1378 0.7500 0.8610 (multiplicity 4)

=====

No. 6
A PBEsol-optimized structure of TbCuSn, computed with SCAN.

Values from the calculation:
Energy of formation from the pure elements ... -0.666 eV/atom
Calculated total energy ... -199.8 eV/cell
Crystal system ... hexagonal

Cell: 4.4621 4.4621 7.3147 Å, 90.00 90.00 120.00°
Space group P6_3/mmc (No. 194)
Symmetry-distinct sites (fractional):
Tb 0.0000 0.0000 0.0000 (multiplicity 2)
Cu 0.3333 0.6667 0.2500 (multiplicity 2)
Sn 0.3333 0.6667 0.7500 (multiplicity 2)